Entry 1
First-principles (PBE) data for a geometry-optimized Tb7SmDy3 structure, as listed in Alexandria.

abc: 8.603 7.071 7.071
angles: 120.00 90.00 90.00
Positions (direct):
Dy 0.784 0.500 0.500
Tb 0.450 0.832 0.168
Tb 0.121 0.667 0.333
Sm 0.445 0.333 0.667
Dy 0.784 0.000 0.500
Tb 0.115 0.664 0.832
Tb 0.450 0.832 0.664
Tb 0.450 0.336 0.168
Tb 0.115 0.168 0.336
Dy 0.784 0.500 0.000
Tb 0.115 0.168 0.832

**Symmetry**: P3m1



Entry 2
First-principles (PBE) data for a geometry-optimized Tb7SmDy3 structure, as listed in Alexandria.

abc: 5.554 9.903 8.909
angles: 105.52 128.53 90.00
Positions (direct):
Tb 0.147 0.290 0.647
Tb 0.677 0.358 0.177
Dy 0.000 0.500 0.000
Tb 0.079 0.169 0.079
Dy 0.722 0.002 0.222
Tb 0.921 0.831 0.921
Sm 0.500 0.500 0.500
Dy 0.278 0.998 0.778
Tb 0.500 0.000 0.500
Tb 0.323 0.642 0.823
Tb 0.853 0.710 0.353

**Symmetry**: P2/m



Pick entry 2: it beats the second-best structure by 51 meV per atom.



Entry 1
First-principles (PBE) data for a geometry-optimized Tb8Sm2Dy structure, as listed in Alexandria.

abc: 5.046 7.992 9.441
angles: 104.75 105.50 90.00
Positions (direct):
Tb 0.681 0.909 0.363
Dy 0.500 0.000 0.000
Sm 0.227 0.637 0.454
Tb 0.864 0.820 0.729
Tb 0.410 0.546 0.819
Tb 0.955 0.272 0.910
Tb 0.136 0.180 0.271
Tb 0.045 0.728 0.090
Tb 0.590 0.454 0.181
Tb 0.319 0.091 0.637
Sm 0.773 0.363 0.546

**Symmetry**: C2/m



Entry 2
First-principles (PBE) data for a geometry-optimized Tb8Sm2Dy structure, as listed in Alexandria.

abc: 6.674 10.218 10.218
angles: 38.13 59.46 59.46
Positions (direct):
Dy 0.000 0.000 0.000
Tb 0.229 0.351 0.826
Tb 0.771 0.174 0.649
Tb 0.820 0.244 0.244
Tb 0.180 0.756 0.756
Tb 0.270 0.411 0.411
Sm 0.601 0.800 0.800
Sm 0.399 0.200 0.200
Tb 0.730 0.589 0.589
Tb 0.229 0.826 0.351
Tb 0.771 0.649 0.174

**Symmetry**: C2/m



Pick entry 1: it beats the second-best structure by 147 meV per atom.



Entry 1
First-principles (PBE) data for a geometry-optimized TbSm4Dy structure, as listed in Alexandria.

abc: 3.466 8.234 8.234
angles: 89.98 90.00 90.00
Positions (direct):
Tb 0.000 0.500 0.500
Sm 0.500 0.261 0.739
Sm 0.000 0.761 0.761
Sm 0.000 0.239 0.239
Sm 0.500 0.739 0.261
Dy 0.500 0.000 0.000

**Symmetry**: Cmmm



Entry 2
First-principles (PBE) data for a geometry-optimized TbSm4Dy structure, as listed in Alexandria.

abc: 8.052 8.052 5.094
angles: 90.01 90.01 36.94
Positions (direct):
Sm 0.166 0.166 0.500
Tb 0.500 0.500 0.500
Sm 0.834 0.834 0.500
Dy 0.000 0.000 0.000
Sm 0.666 0.666 0.000
Sm 0.334 0.334 0.000

**Symmetry**: Cmmm



Pick entry 2: it beats the second-best structure by 630 meV per atom.



Entry 1
First-principles (PBE) data for a geometry-optimized Tb4Sm3Dy2 structure, as listed in Alexandria.

abc: 6.117 11.308 11.308
angles: 61.81 62.61 62.61
Positions (direct):
Tb 0.078 0.147 0.426
Tb 0.920 0.186 0.908
Sm 0.750 0.401 0.599
Dy 0.921 0.519 0.242
Tb 0.422 0.574 0.853
Dy 0.421 0.242 0.519
Sm 0.747 0.068 0.265
Tb 0.080 0.814 0.092
Tb 0.578 0.426 0.147
Dy 0.579 0.758 0.481
Sm 0.753 0.735 0.932
Tb 0.420 0.908 0.186
Tb 0.580 0.092 0.814
Sm 0.247 0.265 0.068
Sm 0.253 0.932 0.735
Dy 0.079 0.481 0.758
Sm 0.250 0.599 0.401
Tb 0.922 0.853 0.574

**Symmetry**: C2/c



Entry 2
First-principles (PBE) data for a geometry-optimized Tb4Sm3Dy2 structure, as listed in Alexandria.

abc: 3.576 6.197 15.176
angles: 65.88 90.00 106.77
Positions (direct):
Sm 0.000 0.000 0.000
Dy 0.667 0.334 0.779
Sm 0.333 0.667 0.556
Sm 0.667 0.333 0.444
Tb 0.000 0.000 0.668
Tb 0.333 0.666 0.889
Tb 0.000 0.000 0.332
Tb 0.667 0.334 0.111
Dy 0.333 0.666 0.221

**Symmetry**: C2/m



Pick entry 2: it beats the second-best structure by 82 meV per atom.